A relaxed structure of MnHgRh, computed with PBE-GGA.

The structure in POSCAR format:
```
MnHgRh
1.0
6.207 0.000 0.000
0.000 6.207 0.000
0.000 0.000 6.207
Mn Hg Rh
4 4 4
direct
0.000 0.000 0.000 Mn
0.000 0.500 0.500 Mn
0.500 0.000 0.500 Mn
0.500 0.500 0.000 Mn
0.000 0.000 0.500 Hg
0.000 0.500 0.000 Hg
0.500 0.000 0.000 Hg
0.500 0.500 0.500 Hg
0.250 0.250 0.250 Rh
0.250 0.750 0.750 Rh
0.750 0.250 0.750 Rh
0.750 0.750 0.250 Rh
```

## Properties
The calculation puts the formation energy at 7.5 kcal/mol of atoms.

***

A relaxed structure of MnHgRh2, computed with PBE-GGA.

The structure in POSCAR format:
```
MnHgRh2
1.0
2.894 0.000 0.000
0.000 3.853 0.000
0.000 0.000 5.674
Mn Hg Rh
1 1 2
direct
0.000 0.000 0.000 Mn
0.500 0.500 0.713 Hg
0.000 0.000 0.447 Rh
0.500 0.500 0.206 Rh
```

## Properties
The calculation puts the formation energy at 2.2 kcal/mol of atoms.

***

A relaxed structure of Mn2HgRh2, computed with PBE-GGA.

The structure in POSCAR format:
```
Mn2HgRh2
1.0
7.392 0.000 0.000
0.000 7.392 0.000
0.000 0.000 2.920
Mn Hg Rh
4 2 4
direct
0.157 0.343 0.000 Mn
0.343 0.843 0.000 Mn
0.657 0.157 0.000 Mn
0.843 0.657 0.000 Mn
0.000 0.000 0.500 Hg
0.500 0.500 0.500 Hg
0.137 0.637 0.500 Rh
0.363 0.137 0.500 Rh
0.637 0.863 0.500 Rh
0.863 0.363 0.500 Rh
```

## Properties
The calculation puts the formation energy at 1.3 kcal/mol of atoms.

***

A relaxed structure of MnHgRh, computed with PBE-GGA.

The structure in POSCAR format:
```
MnHgRh
1.0
3.206 0.000 0.000
0.000 3.206 0.000
0.000 0.000 9.587
Mn Hg Rh
2 2 2
direct
0.000 0.000 0.000 Mn
0.500 0.500 0.500 Mn
0.000 0.000 0.680 Hg
0.500 0.500 0.180 Hg
0.000 0.000 0.366 Rh
0.500 0.500 0.866 Rh
```

## Properties
The calculation puts the formation energy at 1.0 kcal/mol of atoms.